{"formula": "MnGaCuF2", "functional": "PBE with a Hubbard U", "state": "relaxed", "space_group": "No. 123", "energy_ev_per_atom": -4.720, "vol_a3_per_cell": 98.84, "lattice_angstrom": [[3.870, 0.000, 0.000], [0.000, 3.870, 0.000], [0.000, 0.000, 6.600]], "species": ["Mn", "Ga", "Cu", "F", "F"], "fractional_positions": [[0.000, 0.000, 0.000], [0.000, 0.000, 0.500], [0.500, 0.500, 0.500], [0.000, 0.500, 0.000], [0.500, 0.000, 0.000]]}